# 1
Material: La8Tb3
Method: DFT, PBE
State: optimized geometry

The structure in POSCAR format:
```
La8Tb3
1.0
-1.7775 4.8204 -5.3619
-6.2891 2.4259 3.1157
2.9436 5.9888 3.2580
La Tb
8 3
Direct
0.1102 0.6886 0.8524
0.3931 0.3931 0.3931
0.1476 0.8898 0.3114
0.3114 0.1476 0.8898
0.6886 0.8524 0.1102
0.8524 0.1102 0.6886
0.8898 0.3114 0.1476
0.6069 0.6069 0.6069
0.0000 0.5000 0.5000
0.5000 0.5000 0.0000
0.5000 0.0000 0.5000
```

Properties
Formation enthalpy at 0 K in meV/atom: 388
Magnetization in μB/f.u.: 0.00
ΔE to the lowest computed polymorph in meV/atom: 364.6

***

# 2
Material: Dy8TlIr2
Method: DFT, PBE
State: optimized geometry

The structure in POSCAR format:
```
Dy8TlIr2
1.0
-4.2560 -0.3157 -3.4283
4.8674 -4.8618 -3.9455
-3.4525 -3.4463 6.2529
Tl Dy Ir
1 8 2
Direct
0.5000 0.0000 0.0000
0.0765 0.0698 0.3305
0.5000 0.2476 0.7524
0.6998 0.3874 0.3874
0.3002 0.6126 0.6126
0.9235 0.6695 0.9302
0.5000 0.7524 0.2476
0.9235 0.9302 0.6695
0.0765 0.3305 0.0698
0.0000 0.3094 0.6906
0.0000 0.6906 0.3094
```

Properties
Formation enthalpy at 0 K in meV/atom: -407
Magnetization in μB/f.u.: 0.00

***

# 3
Material: ZnInFe2
Method: DFT, PBE
State: optimized geometry

The structure in POSCAR format:
```
ZnInFe2
1.0
-1.3555 1.4350 2.0701
-0.9399 -2.4676 1.0998
5.8898 -0.4007 4.1343
Fe Zn In
2 1 1
Direct
0.0000 0.0000 0.9723
0.0000 0.0000 0.5277
0.5000 0.5000 0.7500
0.5000 0.5000 0.2500
```

Properties
Formation enthalpy at 0 K in meV/atom: 220
Magnetization in μB/f.u.: 4.91

***

# 4
Material: InPtC3
Method: DFT, PBE
State: optimized geometry

The structure in POSCAR format:
```
InPtC3
1.0
4.1061 0.0000 0.0000
0.0000 4.1061 0.0000
0.0000 0.0000 4.1061
C Pt In
3 1 1
Direct
0.0000 0.0000 0.5000
0.0000 0.5000 0.0000
0.5000 0.0000 0.0000
0.0000 0.0000 0.0000
0.5000 0.5000 0.5000
```

Properties
Formation enthalpy at 0 K in meV/atom: 2301
Magnetization in μB/f.u.: 0.00
ΔE to the lowest computed polymorph in meV/atom: 0.0

***

# 5
Material: InAu3N
Method: DFT, PBE
State: optimized geometry

The structure in POSCAR format:
```
InAu3N
1.0
4.5462 0.0000 0.0000
0.0000 4.5462 0.0000
0.0000 0.0000 4.5462
Au N In
3 1 1
Direct
0.0000 0.5000 0.0000
0.0000 0.0000 0.5000
0.5000 0.0000 0.0000
0.0000 0.0000 0.0000
0.5000 0.5000 0.5000
```

Properties
Magnetization in μB/f.u.: 0.00
Formation energy (no corrections) in eV per atom: 0.64
ΔE to the lowest computed polymorph in meV/atom: 0.0

***

# 6
Material: Hg4Au
Method: DFT, PBE
State: optimized geometry

The structure in POSCAR format:
```
Hg4Au
1.0
-2.4484 -1.8550 4.6114
3.0560 4.5320 -0.9068
-4.4716 1.2363 -3.0294
Hg Au
4 1
Direct
0.7990 0.6133 0.4123
0.3867 0.7990 0.1858
0.6133 0.2010 0.8142
0.2010 0.3867 0.5877
0.0000 0.0000 0.0000
```

Properties
Formation enthalpy at 0 K in meV/atom: 122
Magnetization in μB/f.u.: 0.00